DFT (PBE+U) results for crystalline TlVOF2 at its relaxed geometry.

## Properties
Final energy, eV for the cell shown: -28.75
M_tot, μB per atom: 0.400
V, Å³ per atom: 14.3
ρ, g cm⁻³: 7.20
Crystal system: tetragonal
DOS at the Fermi energy, states/eV/cell: 0.7

```
data_TlVOF2
_chemical_formula_sum 'Tl1 V1 O1 F2'
_symmetry_space_group_name_H-M 'P 4/m m m'
_symmetry_Int_Tables_number 123
_symmetry_space_group_name_Hall '-P 4 2'
_cell_length_a 4.310
_cell_length_b 4.310
_cell_length_c 3.842
_cell_angle_alpha 90.00
_cell_angle_beta 90.00
_cell_angle_gamma 90.00
loop_
_atom_site_label
_atom_site_fract_x
_atom_site_fract_y
_atom_site_fract_z
Tl1 0.000 0.000 0.000
V1 0.500 0.500 0.500
O1 0.500 0.500 0.000
F1 0.000 0.500 0.500
```